Entry 1:
Computed, not measured: an optimized crystal structure of BeReSeN2 at the PBE-GGA level of DFT.

The uncorrected formation energy is 60 kJ per mole of atoms. Its density of states at the Fermi level is 2.59 states/eV per cell.

It has space group P4/mmm (No. 123), with a = 3.777 Å, b = 3.777 Å, c = 5.550 Å, α = 90.00°, β = 90.00° and γ = 90.00°. The asymmetric unit holds Be at (0.000, 0.000, 0.000), Re at (0.500, 0.500, 0.500), Se at (0.500, 0.500, 0.000) and N at (0.000, 0.500, 0.500).

Entry 2:
Computed, not measured: an optimized crystal structure of Be2ReSiN at the PBE-GGA level of DFT.

The uncorrected formation energy is 180 kJ per mole of atoms. Its density of states at the Fermi level is 2.79 states/eV per cell.

It has space group P4/mmm (No. 123), with a = 4.352 Å, b = 4.352 Å, c = 4.609 Å, α = 90.00°, β = 90.00° and γ = 90.00°. The asymmetric unit holds Be at (0.000, 0.500, 0.000), Re at (0.000, 0.000, 0.000), Si at (0.000, 0.000, 0.500) and N at (0.500, 0.500, 0.500).

Entry 3:
Computed, not measured: an optimized crystal structure of BeReSnN2 at the PBE-GGA level of DFT.

The uncorrected formation energy is 236 kJ per mole of atoms. Its density of states at the Fermi level is 5.28 states/eV per cell.

It has space group P4/mmm (No. 123), with a = 3.952 Å, b = 3.952 Å, c = 4.757 Å, α = 90.00°, β = 90.00° and γ = 90.00°. The asymmetric unit holds Be at (0.000, 0.000, 0.000), Re at (0.500, 0.500, 0.000), Sn at (0.000, 0.000, 0.500) and N at (0.000, 0.500, 0.500).

Entry 4:
Computed, not measured: an optimized crystal structure of ZrBe2ReN at the PBE-GGA level of DFT.

The uncorrected formation energy is 42 kJ per mole of atoms. Its density of states at the Fermi level is 3.07 states/eV per cell.

It has space group P4/mmm (No. 123), with a = 4.324 Å, b = 4.324 Å, c = 3.808 Å, α = 90.00°, β = 90.00° and γ = 90.00°. The asymmetric unit holds Zr at (0.000, 0.000, 0.000), Be at (0.000, 0.500, 0.500), Re at (0.500, 0.500, 0.500) and N at (0.500, 0.500, 0.000).

Entry 5:
Computed, not measured: an optimized crystal structure of BeRhN3 at the PBE-GGA level of DFT.

The uncorrected formation energy is 188 kJ per mole of atoms. Its density of states at the Fermi level is 3.46 states/eV per cell.

It has space group Pm-3m (No. 221), with a = 3.837 Å, b = 3.837 Å, c = 3.837 Å, α = 90.00°, β = 90.00° and γ = 90.00°. The asymmetric unit holds Be at (0.000, 0.000, 0.000), Rh at (0.500, 0.500, 0.500) and N at (0.000, 0.500, 0.500).

Entry 6:
Computed, not measured: an optimized crystal structure of BeRhN2 at the PBE-GGA level of DFT.

The uncorrected formation energy is 5 kJ per mole of atoms. Its density of states at the Fermi level is 6.61 states/eV per cell.

It has space group I-42d (No. 122), with a = 4.358 Å, b = 4.358 Å, c = 8.241 Å, α = 90.00°, β = 90.00° and γ = 90.00°. The asymmetric unit holds Be at (0.000, 0.000, 0.000), Rh at (0.000, 0.000, 0.500) and N at (0.206, 0.250, 0.125).

Entry 7:
Computed, not measured: an optimized crystal structure of BeRhN2 at the PBE-GGA level of DFT.

The uncorrected formation energy is 31 kJ per mole of atoms. Its density of states at the Fermi level is 9.93 states/eV per cell.

It has space group R-3m (No. 166, hexagonal axes), with a = 3.1431 Å, b = 3.1431 Å, c = 15.4034 Å, α = 90.00°, β = 90.00° and γ = 120.00°. The asymmetric unit holds Be at (0.0000, 0.0000, 0.0000), Rh at (0.0000, 0.0000, 0.5000) and N at (0.0000, 0.0000, 0.0996).

Entry 8:
Computed, not measured: an optimized crystal structure of BeRhN3 at the PBE-GGA level of DFT.

The uncorrected formation energy is 141 kJ per mole of atoms. Its density of states at the Fermi level is 3.38 states/eV per cell.

It has space group Pm-3m (No. 221), with a = 3.458 Å, b = 3.458 Å, c = 3.458 Å, α = 90.00°, β = 90.00° and γ = 90.00°. The asymmetric unit holds Be at (0.000, 0.000, 0.000), Rh at (0.500, 0.500, 0.500) and N at (0.000, 0.000, 0.500).